i.
La2NdZn2 | PBE | relaxed

```
data_La2NdZn2
_chemical_formula_sum 'La8 Nd4 Zn8'
_symmetry_space_group_name_H-M 'C 1 2/c 1'
_symmetry_Int_Tables_number 15
_cell_length_a 13.223
_cell_length_b 6.434
_cell_length_c 6.976
_cell_angle_alpha 90.00
_cell_angle_beta 99.05
_cell_angle_gamma 90.00
loop_
_symmetry_equiv_pos_as_xyz
'x,y,z'
'-x,-y,-z'
'-x,y,-z+1/2'
'x,-y,z+1/2'
'x+1/2,y+1/2,z'
'-x+1/2,-y+1/2,-z'
'-x+1/2,y+1/2,-z+1/2'
'x+1/2,-y+1/2,z+1/2'
loop_
_atom_site_label
_atom_site_type_symbol
_atom_site_fract_x
_atom_site_fract_y
_atom_site_fract_z
_atom_site_occupancy
La1 La 0.141 0.111 0.121 1
Nd1 Nd 0.000 0.416 0.750 1
Zn1 Zn 0.174 0.372 0.526 1
```

Computed properties:
Calculated density, Mg/m³: 6.265

=====

ii.
La2NdZn2 | PBE | relaxed

```
data_La2NdZn2
_chemical_formula_sum 'La4 Nd2 Zn4'
_symmetry_space_group_name_H-M 'P 1 21/m 1'
_symmetry_Int_Tables_number 11
_cell_length_a 3.780
_cell_length_b 5.328
_cell_length_c 14.105
_cell_angle_alpha 90.00
_cell_angle_beta 97.71
_cell_angle_gamma 90.00
loop_
_symmetry_equiv_pos_as_xyz
'x,y,z'
'-x,-y,-z'
'-x,y+1/2,-z'
'x,-y+1/2,z'
loop_
_atom_site_label
_atom_site_type_symbol
_atom_site_fract_x
_atom_site_fract_y
_atom_site_fract_z
_atom_site_occupancy
La1 La 0.045 0.250 0.090 1
La2 La 0.231 0.250 0.463 1
Nd1 Nd 0.142 0.750 0.282 1
Zn1 Zn 0.361 0.750 0.722 1
Zn2 Zn 0.449 0.250 0.899 1
```

Computed properties:
Calculated density, Mg/m³: 6.523

=====

Q: Which of them is the most stable? A: ii.

=====

i.
LaNd2Zn2 | PBE | relaxed

```
data_LaNd2Zn2
_chemical_formula_sum 'La2 Nd4 Zn4'
_symmetry_space_group_name_H-M 'P 1 21/m 1'
_symmetry_Int_Tables_number 11
_cell_length_a 4.703
_cell_length_b 4.491
_cell_length_c 13.587
_cell_angle_alpha 90.00
_cell_angle_beta 99.65
_cell_angle_gamma 90.00
loop_
_symmetry_equiv_pos_as_xyz
'x,y,z'
'-x,-y,-z'
'-x,y+1/2,-z'
'x,-y+1/2,z'
loop_
_atom_site_label
_atom_site_type_symbol
_atom_site_fract_x
_atom_site_fract_y
_atom_site_fract_z
_atom_site_occupancy
La1 La 0.136 0.250 0.270 1
Nd1 Nd 0.237 0.750 0.472 1
Nd2 Nd 0.447 0.250 0.892 1
Zn1 Zn 0.022 0.250 0.045 1
Zn2 Zn 0.329 0.250 0.663 1
```

Computed properties:
Calculated density, Mg/m³: 6.554

=====

ii.
LaNd2Zn2 | PBE | relaxed

```
data_LaNd2Zn2
_chemical_formula_sum 'La2 Nd4 Zn4'
_symmetry_space_group_name_H-M 'P 1 21/m 1'
_symmetry_Int_Tables_number 11
_cell_length_a 3.759
_cell_length_b 5.373
_cell_length_c 13.861
_cell_angle_alpha 90.00
_cell_angle_beta 97.81
_cell_angle_gamma 90.00
loop_
_symmetry_equiv_pos_as_xyz
'x,y,z'
'-x,-y,-z'
'-x,y+1/2,-z'
'x,-y+1/2,z'
loop_
_atom_site_label
_atom_site_type_symbol
_atom_site_fract_x
_atom_site_fract_y
_atom_site_fract_z
_atom_site_occupancy
La1 La 0.142 0.250 0.283 1
Nd1 Nd 0.047 0.750 0.094 1
Nd2 Nd 0.231 0.750 0.464 1
Zn1 Zn 0.360 0.250 0.720 1
Zn2 Zn 0.453 0.750 0.907 1
```

Computed properties:
Calculated density, Mg/m³: 6.684

=====

Q: Which of them is the most stable? A: ii.

=====

i.
La4NdZn | PBE | relaxed

```
data_La4NdZn
_chemical_formula_sum 'La4 Nd1 Zn1'
_symmetry_space_group_name_H-M 'P -1'
_symmetry_Int_Tables_number 2
_cell_length_a 3.827
_cell_length_b 6.623
_cell_length_c 8.894
_cell_angle_alpha 110.56
_cell_angle_beta 90.07
_cell_angle_gamma 106.74
loop_
_symmetry_equiv_pos_as_xyz
'x,y,z'
'-x,-y,-z'
loop_
_atom_site_label
_atom_site_type_symbol
_atom_site_fract_x
_atom_site_fract_y
_atom_site_fract_z
_atom_site_occupancy
La1 La 0.142 0.284 0.358 1
La2 La 0.162 0.324 0.797 1
Nd1 Nd 0.500 0.000 0.000 1
Zn1 Zn 0.500 0.000 0.500 1
```

Computed properties:
Calculated density, Mg/m³: 6.329

=====

ii.
La4NdZn | PBE | relaxed

```
data_La4NdZn
_chemical_formula_sum 'La4 Nd1 Zn1'
_symmetry_space_group_name_H-M 'P 4/m m m'
_symmetry_Int_Tables_number 123
_symmetry_space_group_name_Hall '-P 4 2'
_cell_length_a 3.749
_cell_length_b 3.749
_cell_length_c 14.158
_cell_angle_alpha 90.00
_cell_angle_beta 90.00
_cell_angle_gamma 90.00
loop_
_atom_site_label
_atom_site_type_symbol
_atom_site_fract_x
_atom_site_fract_y
_atom_site_fract_z
_atom_site_occupancy
La1 La 0.000 0.000 0.132 1
La2 La 0.500 0.500 0.317 1
Nd1 Nd 0.000 0.000 0.500 1
Zn1 Zn 0.500 0.500 0.000 1
```

Computed properties:
Calculated density, Mg/m³: 6.386

=====

Q: Which of them is the most stable? A: ii.